(1)
VASP calculation (PBE-GGA) on TlSb2Au2 after structural relaxation.

Cell: 8.684 8.684 3.258 Å, 90.00 90.00 90.00°
Fractional coordinates of all 10 atoms:
Tl: 0.000 0.000 0.000
Tl: 0.500 0.500 0.000
Sb: 0.146 0.354 0.500
Sb: 0.354 0.854 0.500
Sb: 0.646 0.146 0.500
Sb: 0.854 0.646 0.500
Au: 0.153 0.653 0.000
Au: 0.347 0.153 0.000
Au: 0.653 0.847 0.000
Au: 0.847 0.347 0.000

Summary:
The calculation puts the formation energy without anion corrections at 0.28 eV/f.u. Its energy above the most stable polymorph in this dataset is 96 meV per atom. For the volume, the calculation gives 24.57 Å³/atom. As for the density of states at the Fermi level: 0.462 states/eV/atom. As for the density: 11378 kg/m³. Its total energy is -3.38 eV/atom.



(2)
VASP calculation (PBE-GGA) on MnGaFe2C after structural relaxation.

Cell: 3.780 3.780 3.806 Å, 90.00 90.00 90.00°
Fractional coordinates of all 5 atoms:
Mn: 0.000 0.000 0.000
Ga: 0.500 0.500 0.000
Fe: 0.000 0.500 0.500
Fe: 0.500 0.000 0.500
C: 0.000 0.000 0.500

Summary:
For the volume, the calculation gives 10.88 Å³/atom. As for the density of states at the Fermi level: 0.864 states/eV/atom. As for the density: 7583 kg/m³. Its total energy is -7.75 eV/atom. For the formation energy, the calculation gives -85 meV/atom.



Which of these has the highest volume?
TlSb2Au2



The lowest volume belongs to which entry?
MnGaFe2C